Below is a geometry-optimized KBaGdS3 structure, with properties calculated at the PBE level.

Total magnetic moment ... 0.00 μB per formula unit
Electronic total energy ... -4.994 eV per atom
Crystal system ... orthorhombic

Unit cell a=9.673 b=9.673 c=11.773 alpha=90.00 beta=90.00 gamma=154.76
Sites, in units of the cell vectors:
S 0.902 0.098 0.500
Gd 0.500 0.500 0.500
S 0.509 0.491 0.750
Ba 0.121 0.879 0.750
S 0.491 0.509 0.250
S 0.098 0.902 0.500
Gd 0.500 0.500 0.000
Ba 0.879 0.121 0.250
K 0.115 0.885 0.250
K 0.885 0.115 0.750
S 0.902 0.098 0.000
S 0.098 0.902 0.000